1.
# CaAcZn10 | Alexandria | PBE-GGA | relaxed
data_CaAcZn10
_chemical_formula_sum 'Ca1 Ac1 Zn10'
_cell_length_a 4.308
_cell_length_b 5.451
_cell_length_c 9.544
_cell_angle_alpha 90.00
_cell_angle_beta 90.00
_cell_angle_gamma 90.00
_space_group_name_H-M_alt 'P m m m'
_space_group_IT_number 47
loop_
_space_group_symop_operation_xyz
'x,y,z'
'-x,-y,-z'
'-x,-y,z'
'x,y,-z'
'x,-y,-z'
'-x,y,z'
'-x,y,-z'
'x,-y,z'
loop_
_atom_site_label
_atom_site_fract_x
_atom_site_fract_y
_atom_site_fract_z
Ca1 0.000 0.000 0.000
Ac1 0.000 0.500 0.500
Zn1 0.000 0.000 0.317
Zn2 0.000 0.500 0.157
Zn3 0.500 0.000 0.500
Zn4 0.500 0.250 0.248
Zn5 0.500 0.500 0.000
# * mass density: 6.825 g cm⁻³
# * energy of formation: -0.24 eV/atom
# * total magnetic moment: 0.00 μB/atom
# * raw total energy: -21.68 eV per cell

=====

2.
# Pr8AgAu2 | Alexandria | PBE-GGA | relaxed
data_Pr8AgAu2
_chemical_formula_sum 'Pr16 Ag2 Au4'
_cell_length_a 19.041
_cell_length_b 5.300
_cell_length_c 7.129
_cell_angle_alpha 90.00
_cell_angle_beta 107.77
_cell_angle_gamma 90.00
_space_group_name_H-M_alt 'C 1 2/m 1'
_space_group_IT_number 12
loop_
_space_group_symop_operation_xyz
'x,y,z'
'-x,-y,-z'
'-x,y,-z'
'x,-y,z'
'x+1/2,y+1/2,z'
'-x+1/2,-y+1/2,-z'
'-x+1/2,y+1/2,-z'
'x+1/2,-y+1/2,z'
loop_
_atom_site_label
_atom_site_fract_x
_atom_site_fract_y
_atom_site_fract_z
Pr1 0.024 0.000 0.275
Pr2 0.091 0.500 0.972
Pr3 0.170 0.500 0.497
Pr4 0.200 0.000 0.841
Ag1 0.000 0.500 0.500
Au1 0.175 0.000 0.240
# * mass density: 7.897 g cm⁻³
# * energy of formation: -0.31 eV/atom
# * total magnetic moment: 0.00 μB/atom
# * raw total energy: -102.01 eV per cell
# * energy above the lowest structure with this stoichiometry: 0 meV/atom

=====

3.
# SrCaTa2 | Alexandria | PBE-GGA | relaxed
data_SrCaTa2
_chemical_formula_sum 'Sr4 Ca4 Ta8'
_cell_length_a 7.467
_cell_length_b 7.467
_cell_length_c 7.467
_cell_angle_alpha 90.00
_cell_angle_beta 90.00
_cell_angle_gamma 90.00
_space_group_name_H-M_alt 'F m -3 m'
_space_group_IT_number 225
_space_group_name_Hall '-F 4 2 3'
loop_
_atom_site_label
_atom_site_fract_x
_atom_site_fract_y
_atom_site_fract_z
Sr1 0.000 0.000 0.000
Ca1 0.000 0.000 0.500
Ta1 0.250 0.250 0.250
# * mass density: 7.810 g cm⁻³
# * energy of formation: 1.54 eV/atom
# * total magnetic moment: 0.00 μB/atom
# * raw total energy: -84.95 eV per cell
# * energy above the lowest structure with this stoichiometry: 1104 meV/atom

=====

4.
# CuAsRh2 | Alexandria | PBE-GGA | relaxed
data_CuAsRh2
_chemical_formula_sum 'Cu2 As2 Rh4'
_cell_length_a 5.535
_cell_length_b 8.373
_cell_length_c 2.842
_cell_angle_alpha 90.00
_cell_angle_beta 118.55
_cell_angle_gamma 90.00
_space_group_name_H-M_alt 'C 1 2/m 1'
_space_group_IT_number 12
loop_
_space_group_symop_operation_xyz
'x,y,z'
'-x,-y,-z'
'-x,y,-z'
'x,-y,z'
'x+1/2,y+1/2,z'
'-x+1/2,-y+1/2,-z'
'-x+1/2,y+1/2,-z'
'x+1/2,-y+1/2,z'
loop_
_atom_site_label
_atom_site_fract_x
_atom_site_fract_y
_atom_site_fract_z
Cu1 0.000 0.000 0.000
As1 0.000 0.500 0.000
Rh1 0.250 0.250 0.500
# * mass density: 9.882 g cm⁻³
# * energy of formation: 0.03 eV/atom
# * total magnetic moment: 0.00 μB/atom
# * raw total energy: -46.70 eV per cell

=====

5.
# EuPaOs | Alexandria | PBE-GGA | relaxed
data_EuPaOs
_chemical_formula_sum 'Eu2 Pa2 Os2'
_cell_length_a 3.574
_cell_length_b 3.574
_cell_length_c 11.777
_cell_angle_alpha 90.00
_cell_angle_beta 90.00
_cell_angle_gamma 90.00
_space_group_name_H-M_alt 'I 4 m m'
_space_group_IT_number 107
_space_group_name_Hall 'I 4 -2'
loop_
_atom_site_label
_atom_site_fract_x
_atom_site_fract_y
_atom_site_fract_z
Eu1 0.000 0.000 0.000
Pa1 0.000 0.000 0.715
Os1 0.000 0.000 0.311
# * mass density: 12.654 g cm⁻³
# * energy of formation: -0.04 eV/atom
# * total magnetic moment: 2.61 μB/atom
# * raw total energy: -62.23 eV per cell

=====

6.
# Sc2MnAl | Alexandria | PBE-GGA | relaxed
data_Sc2MnAl
_chemical_formula_sum 'Sc6 Mn3 Al3'
_cell_length_a 3.0862
_cell_length_b 3.0862
_cell_length_c 28.9687
_cell_angle_alpha 90.00
_cell_angle_beta 90.00
_cell_angle_gamma 120.00
_space_group_name_H-M_alt 'R -3 m'
_space_group_IT_number 166
_space_group_name_Hall '-R 3 2"'
loop_
_atom_site_label
_atom_site_fract_x
_atom_site_fract_y
_atom_site_fract_z
Sc1 0.0000 0.0000 0.1023
Mn1 0.0000 0.0000 0.5000
Al1 0.0000 0.0000 0.0000
# * mass density: 3.582 g cm⁻³
# * energy of formation: 0.35 eV/atom
# * total magnetic moment: 0.00 μB/atom
# * raw total energy: -72.49 eV per cell